LuV2Mo GGA-PBE optimized geometry; energy = -8.22 eV/atom; V = 69.8 Å³ per cell; crystal system = tetragonal; total magnetic moment = 0.89 Bohr magnetons per cell; distance to the lowest polymorph of the same formula = 0.00 eV/f.u.; formation energy from the elements = 0.7 eV/f.u.; SG = P4/mmm, No. 123
1.0
3.181 0.000 0.000
0.000 3.181 0.000
0.000 0.000 6.900
Lu V Mo
1 2 1
direct
0.000 0.000 0.000
0.500 0.500 0.302
0.500 0.500 0.698
0.000 0.000 0.500